# 1
Material: YBiSe2
Method: DFT, GGA-PBE
State: optimized geometry

Lattice parameters (Å, degrees): 9.3092 9.3092 9.3092 25.68 25.68 25.68
With the nearest neighbours (Å) after each atom.
Sites, in units of the cell vectors:
Y 0.0000 0.0000 0.0000  2 Se 2.80
Bi 0.5000 0.5000 0.5000  6 Se 2.93
Se 0.1036 0.1036 0.1036  1 Y 2.80, 3 Bi 2.93
Se 0.8964 0.8964 0.8964  1 Y 2.80, 3 Bi 2.93

**ρ**: 5.7 Mg/m³
**Formation energy without anion corrections**: -1.696 eV per formula unit
**Total magnetization**: 0.000 μB per atom

=====

# 2
Material: Y5BiSe4
Method: DFT, GGA-PBE
State: optimized geometry

Lattice parameters (Å, degrees): 7.2369 7.2369 10.2043 118.11 118.11 33.36
With the nearest neighbours (Å) after each atom.
Sites, in units of the cell vectors:
Y 0.0000 0.0000 0.0000  6 Se 2.92-2.95
Y 0.2064 0.2064 0.8155  5 Se 2.88-2.94, 1 Bi 3.08
Y 0.3924 0.3924 0.6108  4 Se 2.88-2.99, 2 Bi 3.08
Y 0.6076 0.6076 0.3892  4 Se 2.88-2.99, 2 Bi 3.08
Y 0.7936 0.7936 0.1845  5 Se 2.88-2.94, 1 Bi 3.08
Bi 0.0000 0.0000 0.5000  6 Y 3.08
Se 0.2045 0.2045 0.2946  6 Y 2.89-2.99
Se 0.4053 0.4053 0.1036  6 Y 2.88-2.94
Se 0.5947 0.5947 0.8964  6 Y 2.88-2.94
Se 0.7955 0.7955 0.7054  6 Y 2.89-2.99

**ρ**: 6.3 Mg/m³
**Formation energy without anion corrections**: -15.757 eV per formula unit
**Total magnetization**: 0.000 μB per atom

=====

# 3
Material: YBiSe
Method: DFT, GGA-PBE
State: optimized geometry

Lattice parameters (Å, degrees): 6.0084 4.4219 8.6121 90.00 105.76 90.00
With the nearest neighbours (Å) after each atom.
Sites, in units of the cell vectors:
Y 0.0000 0.0000 0.0000  4 Se 2.73-3.03
Y 0.3921 0.0000 0.6438  1 Se 2.65
Bi 0.5605 0.5000 0.4071  1 Se 3.08, 2 Bi 3.11, 2 Y 3.34
Bi 0.8780 0.0000 0.6048  3 Y 3.02-3.28, 2 Bi 3.11
Se 0.0579 0.5000 0.1918  2 Y 2.73
Se 0.4840 0.0000 0.9624  1 Y 2.65

**ρ**: 5.7 Mg/m³
**Formation energy without anion corrections**: -2.324 eV per formula unit
**Total magnetization**: 0.000 μB per atom

=====

# 4
Material: Y5BiSe5
Method: DFT, GGA-PBE
State: optimized geometry

Lattice parameters (Å, degrees): 7.1619 7.1619 8.3188 106.59 106.59 48.74
With the nearest neighbours (Å) after each atom.
Sites, in units of the cell vectors:
Y 0.0000 0.0000 0.0000  4 Se 2.92-2.94, 2 Bi 2.96
Y 0.3297 0.3297 0.6525  5 Se 2.86-2.96, 1 Bi 3.04
Y 0.3320 0.3320 0.1807  5 Se 2.87-2.96, 1 Bi 3.02
Y 0.6680 0.6680 0.8193  5 Se 2.87-2.96, 1 Bi 3.02
Y 0.6703 0.6703 0.3475  5 Se 2.86-2.96, 1 Bi 3.04
Bi 0.5000 0.5000 0.0000  6 Y 2.96-3.04
Se 0.1623 0.1623 0.3342  5 Y 2.86-2.96
Se 0.1711 0.1711 0.8386  5 Y 2.94-2.96
Se 0.5000 0.5000 0.5000  4 Y 2.87-2.88
Se 0.8289 0.8289 0.1614  5 Y 2.94-2.96
Se 0.8377 0.8377 0.6658  5 Y 2.86-2.96

**ρ**: 5.7 Mg/m³
**Formation energy without anion corrections**: -18.195 eV per formula unit
**Total magnetization**: 0.000 μB per atom

=====

# 5
Material: ZnBi3Se
Method: DFT, GGA-PBE
State: optimized geometry

Lattice parameters (Å, degrees): 5.3803 5.3803 5.3803 90.00 90.00 90.00
With the nearest neighbours (Å) after each atom.
Sites, in units of the cell vectors:
Zn 0.0000 0.0000 0.0000  6 Bi 2.69
Bi 0.0000 0.0000 0.5000  2 Zn 2.69
Bi 0.0000 0.5000 0.0000  2 Zn 2.69
Bi 0.5000 0.0000 0.0000  2 Zn 2.69
Se 0.5000 0.5000 0.5000  12 Bi 3.80

**ρ**: 8.2 Mg/m³
**Energy above the lowest structure with this stoichiometry**: 0 meV per atom
**Formation energy without anion corrections**: 2.764 eV per formula unit
**Total magnetization**: 0.000 μB per atom

=====

# 6
Material: Zn3BiSe
Method: DFT, GGA-PBE
State: optimized geometry

Lattice parameters (Å, degrees): 5.2936 5.2936 5.2936 90.00 90.00 90.00
With the nearest neighbours (Å) after each atom.
Sites, in units of the cell vectors:
Zn 0.0000 0.0000 0.5000  2 Bi 2.65
Zn 0.0000 0.5000 0.0000  2 Bi 2.65
Zn 0.5000 0.0000 0.0000  2 Bi 2.65
Bi 0.0000 0.0000 0.0000  6 Zn 2.65
Se 0.5000 0.5000 0.5000  12 Zn 3.74

**ρ**: 5.4 Mg/m³
**Energy above the lowest structure with this stoichiometry**: 205 meV per atom
**Formation energy without anion corrections**: 2.586 eV per formula unit
**Total magnetization**: 0.000 μB per atom

=====

# 7
Material: ZnBi2Se2
Method: DFT, GGA-PBE
State: optimized geometry

Lattice parameters (Å, degrees): 6.8956 6.8956 5.8268 90.00 90.00 90.00
With the nearest neighbours (Å) after each atom.
Sites, in units of the cell vectors:
Zn 0.0000 0.0000 0.0000  4 Se 2.55
Zn 0.5000 0.5000 0.0000  4 Se 2.55
Bi 0.2158 0.2842 0.5000  2 Se 2.94
Bi 0.2842 0.7842 0.5000  2 Se 2.94
Bi 0.7158 0.2158 0.5000  2 Se 2.94
Bi 0.7842 0.7158 0.5000  2 Se 2.94
Se 0.1747 0.3253 0.0000  2 Zn 2.55
Se 0.3253 0.8253 0.0000  2 Zn 2.55
Se 0.6747 0.1747 0.0000  2 Zn 2.55
Se 0.8253 0.6747 0.0000  2 Zn 2.55

**ρ**: 7.7 Mg/m³
**Formation energy without anion corrections**: -0.391 eV per formula unit
**Total magnetization**: 0.000 μB per atom

=====

# 8
Material: Zn3BiSe
Method: DFT, GGA-PBE
State: optimized geometry

Lattice parameters (Å, degrees): 4.9611 4.9611 4.9611 90.00 90.00 90.00
With the nearest neighbours (Å) after each atom.
Sites, in units of the cell vectors:
Zn 0.0000 0.0000 0.5000  2 Se 2.48
Zn 0.0000 0.5000 0.0000  2 Se 2.48
Zn 0.5000 0.0000 0.0000  2 Se 2.48
Bi 0.5000 0.5000 0.5000  12 Zn 3.51
Se 0.0000 0.0000 0.0000  6 Zn 2.48

**ρ**: 6.6 Mg/m³
**Energy above the lowest structure with this stoichiometry**: 0 meV per atom
**Formation energy without anion corrections**: 1.559 eV per formula unit
**Total magnetization**: 0.000 μB per atom

=====

Q: Look up the total magnetization of the eighth one.
A: 0.000 μB per atom

=====

Q: Which of these has the highest formation energy without anion corrections?
A: ZnBi3Se